# 1
Material: DyPaPdAu
Method: DFT, PBE-GGA
State: optimized geometry

Unit cell a=5.043 b=5.043 c=5.043 alpha=60.00 beta=60.00 gamma=60.00
Each line ends with the local moment (μB).
Element x y z (fractional)
Au  0.750  0.750  0.750  0.00
Pd  0.250  0.250  0.250  -0.02
Pa  0.500  0.500  0.500  0.75
Dy  0.000  0.000  0.000  0.12

Summary:
Electronic total energy   -24.52 eV for the cell shown
Total magnetic moment   1.00 μB/f.u.
N(E_F)   6.5 states/eV/cell
Energy relative to the elements   -1.95 eV per formula unit

***

# 2
Material: DyPaPtAu
Method: DFT, PBE-GGA
State: optimized geometry

Unit cell a=5.032 b=5.032 c=5.032 alpha=60.00 beta=60.00 gamma=60.00
Each line ends with the local moment (μB).
Element x y z (fractional)
Pt  0.250  0.250  0.250  -0.02
Au  0.750  0.750  0.750  0.00
Pa  0.000  0.000  0.000  0.56
Dy  0.500  0.500  0.500  0.09

Summary:
Electronic total energy   -26.18 eV for the cell shown
Total magnetic moment   0.76 μB/f.u.
N(E_F)   6.6 states/eV/cell
Energy relative to the elements   -2.76 eV per formula unit

***

# 3
Material: DyPaRhAu
Method: DFT, PBE-GGA
State: optimized geometry

Unit cell a=4.993 b=4.993 c=4.993 alpha=60.00 beta=60.00 gamma=60.00
Each line ends with the local moment (μB).
Element x y z (fractional)
Rh  0.000  0.000  0.000  -0.05
Au  0.500  0.500  0.500  0.00
Pa  0.750  0.750  0.750  0.57
Dy  0.250  0.250  0.250  0.09

Summary:
Electronic total energy   -26.86 eV for the cell shown
Total magnetic moment   0.71 μB/f.u.
N(E_F)   5.9 states/eV/cell
Energy relative to the elements   -2.13 eV per formula unit

***

# 4
Material: DyPaTcAu
Method: DFT, PBE-GGA
State: optimized geometry

Unit cell a=4.975 b=4.975 c=4.975 alpha=60.00 beta=60.00 gamma=60.00
Element x y z (fractional)
Tc  0.000  0.000  0.000
Pa  0.750  0.750  0.750
Dy  0.250  0.250  0.250
Au  0.500  0.500  0.500

Summary:
Electronic total energy   -28.64 eV for the cell shown
Total magnetic moment   0.00 μB/f.u.
N(E_F)   6.1 states/eV/cell
Energy relative to the elements   -0.90 eV per formula unit

***

# 5
Material: DyPaTlAu
Method: DFT, PBE-GGA
State: optimized geometry

Unit cell a=5.252 b=5.252 c=5.252 alpha=60.00 beta=60.00 gamma=60.00
Each line ends with the local moment (μB).
Element x y z (fractional)
Pa  0.750  0.750  0.750  1.20
Dy  0.250  0.250  0.250  0.37
Au  0.500  0.500  0.500  0.05
Tl  0.000  0.000  0.000  0.00

Summary:
Electronic total energy   -20.29 eV for the cell shown
Total magnetic moment   2.09 μB/f.u.
N(E_F)   9.0 states/eV/cell
Energy relative to the elements   -0.55 eV per formula unit

***

# 6
Material: DyPaZnAu
Method: DFT, PBE-GGA
State: optimized geometry

Unit cell a=5.079 b=5.079 c=5.079 alpha=60.00 beta=60.00 gamma=60.00
Each line ends with the local moment (μB).
Element x y z (fractional)
Pa  0.250  0.250  0.250  0.90
Zn  0.000  0.000  0.000  0.01
Dy  0.750  0.750  0.750  0.30
Au  0.500  0.500  0.500  0.04

Summary:
Electronic total energy   -19.47 eV for the cell shown
Total magnetic moment   1.56 μB/f.u.
N(E_F)   7.5 states/eV/cell
Energy relative to the elements   -0.82 eV per formula unit

***

Repeat the sixth record exactly.
Material: DyPaZnAu
Method: DFT, PBE-GGA
State: optimized geometry

Unit cell a=5.079 b=5.079 c=5.079 alpha=60.00 beta=60.00 gamma=60.00
Each line ends with the local moment (μB).
Element x y z (fractional)
Pa  0.250  0.250  0.250  0.90
Zn  0.000  0.000  0.000  0.01
Dy  0.750  0.750  0.750  0.30
Au  0.500  0.500  0.500  0.04

Summary:
Electronic total energy   -19.47 eV for the cell shown
Total magnetic moment   1.56 μB/f.u.
N(E_F)   7.5 states/eV/cell
Energy relative to the elements   -0.82 eV per formula unit